VASP calculation (PBE with a Hubbard U) on Rb2NiPtF after structural relaxation.

total moment: 1.1 μB per formula unit
mass density: 5.758 g cm⁻³
VASP energy: -2.814 eV/atom

Cell: 5.5340 5.5340 4.1780 Å, 90.00 90.00 90.00°
With the nearest neighbours (Å) after each atom.
Space group P4/mmm (No. 123)
Inequivalent atoms, fractional coordinates:
1 Rb 0.0000 0.5000 0.0000 x2  2 F 2.77
2 Ni 0.0000 0.0000 0.5000 x1  2 F 2.09
3 Pt 0.5000 0.5000 0.5000 x1  8 Rb 3.47
4 F 0.0000 0.0000 0.0000 x1  2 Ni 2.09